Entry 1:
Density functional theory data (PBE-GGA) for a geometry-optimized KZrPO5 structure.

Summary:
**Energy relative to the elements, uncorrected**: -21.3 eV/f.u.
**Symmetry**: C2/c

Cell lengths 5.855, 5.855, 7.679 Å; angles 105.55, 105.55, 104.91 degrees
Fractional positions:
K  0.333  0.667  0.250
K  0.667  0.333  0.750
Zr  0.000  0.000  0.500
Zr  0.000  0.000  0.000
P  0.686  0.314  0.250
P  0.314  0.686  0.750
O  0.065  0.935  0.250
O  0.935  0.065  0.750
O  0.860  0.294  0.127
O  0.140  0.706  0.873
O  0.706  0.140  0.373
O  0.294  0.860  0.627
O  0.767  0.595  0.386
O  0.233  0.405  0.614
O  0.405  0.233  0.114
O  0.595  0.767  0.886

---

Entry 2:
Density functional theory data (PBE-GGA) for a geometry-optimized Ba3C structure.

Summary:
**Calculated formation energy**: 0.512 eV/atom
**Polymorph energy (0 for the lowest one)**: 135 meV per atom
**Symmetry**: R-3m

Cell lengths 11.592, 11.592, 11.592 Å; angles 21.46, 21.46, 21.46 degrees
Site moments in Bohr magnetons follow the coordinates.
Fractional positions:
C  0.000  0.000  0.000  0.23
Ba  0.290  0.290  0.290  0.05
Ba  0.500  0.500  0.500  0.12
Ba  0.710  0.710  0.710  0.05

---

Entry 3:
Density functional theory data (PBE-GGA) for a geometry-optimized MnPRu structure.

Summary:
**Calculated formation energy**: -0.231 eV/atom
**Symmetry**: I4mm

Cell lengths 4.934, 4.934, 4.934 Å; angles 146.91, 146.91, 47.50 degrees
Fractional positions:
Mn  0.978  0.978  0.000
P  0.343  0.343  0.000
Ru  0.679  0.679  0.000

---

Entry 4:
Density functional theory data (PBE-GGA) for a geometry-optimized Sm2Np3N8 structure.

Summary:
**Energy relative to the elements, uncorrected**: -13.8 eV/f.u.
**Symmetry**: P6_3mc

Cell lengths 6.904, 6.904, 10.203 Å; angles 90.00, 90.00, 120.00 degrees
Site moments in Bohr magnetons follow the coordinates.
Fractional positions:
Sm  0.667  0.333  0.035  -0.01
Sm  0.333  0.667  0.535  -0.01
Sm  0.667  0.333  0.384  0.00
Sm  0.333  0.667  0.884  0.00
Np  0.668  0.834  0.245  1.22
Np  0.834  0.166  0.745  1.22
Np  0.166  0.332  0.245  1.22
Np  0.834  0.668  0.745  1.22
Np  0.332  0.166  0.745  1.22
Np  0.166  0.834  0.245  1.22
N  0.837  0.163  0.166  -0.08
N  0.674  0.837  0.666  -0.08
N  0.163  0.326  0.666  -0.08
N  0.837  0.674  0.166  -0.08
N  0.326  0.163  0.166  -0.08
N  0.163  0.837  0.666  -0.08
N  0.528  0.472  0.857  -0.06
N  0.057  0.528  0.357  -0.06
N  0.472  0.943  0.357  -0.06
N  0.528  0.057  0.857  -0.06
N  0.000  0.000  0.335  -0.10
N  0.000  0.000  0.835  -0.10
N  0.333  0.667  0.137  -0.07
N  0.943  0.472  0.857  -0.06
N  0.472  0.528  0.357  -0.06
N  0.667  0.333  0.637  -0.07

---

Entry 5:
Density functional theory data (PBE-GGA) for a geometry-optimized RePd2 structure.

Summary:
**Calculated formation energy**: 0.044 eV/atom
**Polymorph energy (0 for the lowest one)**: 0 meV per atom
**Symmetry**: I4/mmm

Cell lengths 2.760, 2.760, 6.243 Å; angles 102.77, 102.77, 90.00 degrees
Fractional positions:
Re  0.000  0.000  0.000
Pd  0.660  0.660  0.320
Pd  0.340  0.340  0.680

---

Entry 6:
Density functional theory data (PBE-GGA) for a geometry-optimized K2Ho2ZrS6 structure.

Summary:
**Energy relative to the elements, uncorrected**: -19.9 eV/f.u.
**Symmetry**: C2/m

Cell lengths 6.763, 6.763, 7.877 Å; angles 98.42, 98.42, 119.63 degrees
Fractional positions:
K  0.831  0.169  0.000
K  0.169  0.831  0.000
Ho  0.334  0.666  0.500
Ho  0.666  0.334  0.500
Zr  0.000  0.000  0.500
S  0.748  0.748  0.693
S  0.065  0.385  0.694
S  0.252  0.252  0.307
S  0.385  0.065  0.694
S  0.935  0.615  0.306
S  0.615  0.935  0.306

---

Entry 7:
Density functional theory data (PBE-GGA) for a geometry-optimized CsLaCdSe3 structure.

Summary:
**Energy relative to the elements, uncorrected**: -8.5 eV/f.u.
**Symmetry**: P2_1/m

Cell lengths 4.479, 9.766, 10.683 Å; angles 108.29, 90.00, 90.00 degrees
Fractional positions:
Cs  0.250  0.212  0.237
Cs  0.750  0.788  0.763
La  0.250  0.670  0.141
La  0.750  0.330  0.859
Cd  0.250  0.084  0.611
Cd  0.750  0.916  0.389
Se  0.750  0.882  0.135
Se  0.250  0.118  0.865
Se  0.250  0.796  0.459
Se  0.750  0.204  0.541
Se  0.750  0.469  0.149
Se  0.250  0.531  0.851

---

Entry 8:
Density functional theory data (PBE-GGA) for a geometry-optimized Ho6SiBi3 structure.

Summary:
**Energy relative to the elements, uncorrected**: -5.7 eV/f.u.
**Symmetry**: P2_1/c

Cell lengths 7.048, 8.315, 10.259 Å; angles 90.00, 89.37, 90.00 degrees
Fractional positions:
Ho  0.660  0.162  0.945
Ho  0.635  0.193  0.559
Ho  0.685  0.439  0.263
Ho  0.315  0.561  0.737
Ho  0.365  0.807  0.441
Ho  0.340  0.838  0.055
Ho  0.160  0.338  0.445
Ho  0.135  0.307  0.059
Ho  0.185  0.061  0.763
Ho  0.815  0.939  0.237
Ho  0.865  0.693  0.941
Ho  0.840  0.662  0.555
Si  0.500  0.500  0.500
Si  0.000  0.000  0.000
Bi  0.568  0.878  0.746
Bi  0.500  0.500  0.000
Bi  0.432  0.122  0.254
Bi  0.068  0.622  0.246
Bi  0.000  0.000  0.500
Bi  0.932  0.378  0.754

---

Entry 9:
Density functional theory data (PBE-GGA) for a geometry-optimized Y2Rh3Pb structure.

Summary:
**Calculated formation energy**: -0.365 eV/atom
**Symmetry**: Immm

Cell lengths 4.730, 5.501, 6.099 Å; angles 116.81, 112.81, 90.00 degrees
Fractional positions:
Y  0.678  0.178  0.357
Y  0.322  0.822  0.643
Rh  0.352  0.352  0.704
Rh  0.000  0.000  0.000
Rh  0.648  0.648  0.296
Pb  0.000  0.500  0.000

---

Entry 10:
Density functional theory data (PBE-GGA) for a geometry-optimized Re2TcCl structure.

Summary:
**Energy relative to the elements, uncorrected**: 1.3 eV/f.u.
**Polymorph energy (0 for the lowest one)**: 0 meV per atom
**Symmetry**: R3m

Cell lengths 8.722, 8.722, 8.722 Å; angles 18.76, 18.76, 18.76 degrees
Fractional positions:
Cl  0.753  0.753  0.753
Re  0.999  0.999  0.999
Re  0.249  0.249  0.249
Tc  0.498  0.498  0.498

---

Entry 11:
Density functional theory data (PBE-GGA) for a geometry-optimized Zr2As2Pd structure.

Summary:
**Calculated formation energy**: -0.860 eV/atom
**Symmetry**: P4/mbm

Cell lengths 7.147, 7.147, 3.648 Å; angles 90.00, 90.00, 90.00 degrees
Fractional positions:
As  0.352  0.852  0.000
As  0.852  0.648  0.000
As  0.648  0.148  0.000
As  0.148  0.352  0.000
Zr  0.159  0.659  0.500
Zr  0.659  0.841  0.500
Zr  0.841  0.341  0.500
Zr  0.341  0.159  0.500
Pd  0.000  0.000  0.000
Pd  0.500  0.500  0.000

---

Entry 12:
Density functional theory data (PBE-GGA) for a geometry-optimized SrPr3Zn4 structure.

Summary:
**Calculated formation energy**: -0.255 eV/atom
**Symmetry**: Pmma

Cell lengths 5.297, 7.542, 10.594 Å; angles 90.00, 90.00, 90.00 degrees
Fractional positions:
Pr  0.000  0.000  0.000
Pr  0.000  0.000  0.500
Pr  0.501  0.000  0.750
Pr  0.499  0.000  0.250
Pr  0.500  0.500  0.750
Pr  0.500  0.500  0.250
Sr  0.000  0.500  0.000
Sr  0.000  0.500  0.500
Zn  0.500  0.760  0.000
Zn  0.500  0.760  0.500
Zn  0.500  0.240  0.000
Zn  0.500  0.240  0.500
Zn  0.001  0.760  0.750
Zn  0.999  0.760  0.250
Zn  0.999  0.240  0.250
Zn  0.001  0.240  0.750

---

Entry 13:
Density functional theory data (PBE-GGA) for a geometry-optimized Th2RhC structure.

Summary:
**Calculated formation energy**: -0.475 eV/atom
**Polymorph energy (0 for the lowest one)**: 0 meV per atom
**Symmetry**: R-3m

Cell lengths 3.822, 3.822, 7.194 Å; angles 74.60, 74.60, 60.00 degrees
Fractional positions:
C  0.500  0.500  0.500
Rh  0.000  0.000  0.000
Th  0.240  0.240  0.279
Th  0.760  0.760  0.721

---

Entry 14:
Density functional theory data (PBE-GGA) for a geometry-optimized InCoRe2 structure.

Summary:
**Calculated formation energy**: 0.484 eV/atom
**Symmetry**: R-3m

Cell lengths 9.124, 9.124, 9.124 Å; angles 17.69, 17.69, 17.69 degrees
Site moments in Bohr magnetons follow the coordinates.
Fractional positions:
Co  0.250  0.250  0.250  0.85
In  0.750  0.750  0.750  0.00
Re  0.991  0.991  0.991  0.00
Re  0.509  0.509  0.509  0.00

---

Entry 15:
Density functional theory data (PBE-GGA) for a geometry-optimized MgAlGe2O6 structure.

Summary:
**Energy relative to the elements, uncorrected**: -20.3 eV/f.u.
**Symmetry**: C2/c

Cell lengths 5.304, 6.504, 6.504 Å; angles 86.64, 82.40, 82.40 degrees
Fractional positions:
Mg  0.250  0.910  0.090
Mg  0.750  0.090  0.910
Al  0.250  0.265  0.735
Al  0.750  0.735  0.265
Ge  0.202  0.787  0.589
Ge  0.298  0.411  0.213
Ge  0.798  0.213  0.411
Ge  0.702  0.589  0.787
O  0.139  0.986  0.786
O  0.361  0.214  0.014
O  0.861  0.014  0.214
O  0.639  0.786  0.986
O  0.413  0.850  0.362
O  0.087  0.638  0.150
O  0.587  0.150  0.638
O  0.913  0.362  0.850
O  0.865  0.716  0.550
O  0.635  0.450  0.284
O  0.135  0.284  0.450
O  0.365  0.550  0.716

---

Entry 16:
Density functional theory data (PBE-GGA) for a geometry-optimized Y2HfCoSb structure.

Summary:
**Energy relative to the elements, uncorrected**: 3.2 eV/f.u.
**Symmetry**: P4/mmm

Cell lengths 5.674, 4.575, 5.674 Å; angles 90.00, 90.00, 90.00 degrees
Site moments in Bohr magnetons follow the coordinates.
Fractional positions:
Y  0.000  0.000  0.500  0.18
Y  0.500  0.000  0.000  0.18
Sb  0.000  0.000  0.000  0.02
Hf  0.500  0.500  0.500  0.74
Co  0.000  0.500  0.000  1.23

---

Entry 17:
Density functional theory data (PBE-GGA) for a geometry-optimized MnAg2SbS structure.

Summary:
**Energy relative to the elements, uncorrected**: 1.4 eV/f.u.
**Symmetry**: P4/mmm

Cell lengths 4.932, 4.520, 4.932 Å; angles 90.00, 90.00, 90.00 degrees
Site moments in Bohr magnetons follow the coordinates.
Fractional positions:
Sb  0.500  0.500  0.500  -0.06
S  0.000  0.000  0.000  0.01
Mn  0.000  0.500  0.000  3.90
Ag  0.000  0.000  0.500  0.03
Ag  0.500  0.000  0.000  -0.02

---

Entry 18:
Density functional theory data (PBE-GGA) for a geometry-optimized PrInAgHg structure.

Summary:
**Calculated formation energy**: -0.380 eV/atom
**Symmetry**: F-43m

Cell lengths 5.173, 5.173, 5.173 Å; angles 60.00, 60.00, 60.00 degrees
Fractional positions:
Pr  0.000  0.000  0.000
Hg  0.750  0.750  0.750
Ag  0.250  0.250  0.250
In  0.500  0.500  0.500

---

Entry 19:
Density functional theory data (PBE-GGA) for a geometry-optimized ScTi2Ir2 structure.

Summary:
**Calculated formation energy**: -0.689 eV/atom
**Polymorph energy (0 for the lowest one)**: 65 meV per atom
**Symmetry**: P4/mbm

Cell lengths 7.621, 7.621, 2.869 Å; angles 90.00, 90.00, 90.00 degrees
Fractional positions:
Sc  0.000  0.000  0.000
Sc  0.500  0.500  0.000
Ir  0.154  0.654  0.500
Ir  0.654  0.846  0.500
Ir  0.846  0.346  0.500
Ir  0.346  0.154  0.500
Ti  0.357  0.857  0.000
Ti  0.857  0.643  0.000
Ti  0.643  0.143  0.000
Ti  0.143  0.357  0.000

---

Entry 20:
Density functional theory data (PBE-GGA) for a geometry-optimized PrYTmTh structure.

Summary:
**Calculated formation energy**: 0.127 eV/atom
**Polymorph energy (0 for the lowest one)**: 108 meV per atom
**Symmetry**: F-43m

Cell lengths 5.709, 5.709, 5.709 Å; angles 60.00, 60.00, 60.00 degrees
Fractional positions:
Pr  0.250  0.250  0.250
Y  0.000  0.000  0.000
Tm  0.500  0.500  0.500
Th  0.750  0.750  0.750

---

Entry 21:
Density functional theory data (PBE-GGA) for a geometry-optimized Sr2TeO structure.

Summary:
**Energy relative to the elements, uncorrected**: -9.0 eV/f.u.
**Polymorph energy (0 for the lowest one)**: 0 meV per atom
**Symmetry**: P4/nmm

Cell lengths 4.815, 4.815, 9.590 Å; angles 90.01, 90.01, 90.00 degrees
Fractional positions:
Sr  0.750  0.750  0.830
Sr  0.750  0.250  0.500
Sr  0.250  0.250  0.170
Sr  0.250  0.750  0.500
Te  0.250  0.250  0.809
Te  0.750  0.750  0.191
O  0.250  0.250  0.418
O  0.750  0.750  0.582

---

Entry 22:
Density functional theory data (PBE-GGA) for a geometry-optimized FeBPAuC2 structure.

Summary:
**Calculated formation energy**: 0.311 eV/atom
**Polymorph energy (0 for the lowest one)**: 0 meV per atom
**Symmetry**: Cm

Cell lengths 2.711, 4.732, 5.358 Å; angles 100.85, 104.67, 89.99 degrees
Site moments in Bohr magnetons follow the coordinates.
Fractional positions:
P  0.084  0.754  0.237  -0.02
C  0.176  0.469  0.421  -0.07
C  0.907  0.613  0.884  0.01
B  0.331  0.562  0.732  0.01
Au  0.886  0.108  0.843  0.03
Fe  0.630  0.153  0.330  1.52

---

Entry 23:
Density functional theory data (PBE-GGA) for a geometry-optimized Sc6GaNi5 structure.

Summary:
**Calculated formation energy**: -0.512 eV/atom
**Symmetry**: P2/m

Cell lengths 4.543, 6.366, 7.197 Å; angles 90.00, 108.62, 90.00 degrees
Fractional positions:
Sc  0.830  0.747  0.659
Sc  0.830  0.254  0.659
Sc  0.500  0.260  0.000
Sc  0.500  0.740  0.000
Sc  0.170  0.746  0.341
Sc  0.170  0.253  0.341
Ni  0.663  0.500  0.333
Ni  0.341  0.000  0.677
Ni  0.000  0.500  0.000
Ni  0.659  0.000  0.323
Ni  0.337  0.500  0.667
Ga  0.000  0.000  0.000

---

no.,VASP energy (eV per atom),DOS(E_F) (states/eV/f.u.),magnetization (μB/cell)
1,-7.643,0.000,0.00
2,-3.236,5.676,1.34
3,-8.182,2.937,0.00
4,-9.899,11.297,6.00
5,-7.568,2.374,0.00
6,-5.867,0.000,0.00
7,-4.269,0.000,0.00
8,-5.026,7.889,0.00
9,-6.813,2.948,0.00
10,-8.948,4.713,0.00
11,-7.178,1.264,0.00
12,-2.894,7.635,0.00
13,-8.329,2.602,0.00
14,-8.201,3.635,0.85
15,-6.461,1.533,0.00
16,-6.187,6.812,3.08
17,-4.344,2.676,4.05
18,-3.048,2.186,0.00
19,-8.658,4.262,0.00
20,-5.657,8.457,0.00
21,-5.103,0.000,0.00
22,-6.734,2.520,1.40
23,-6.339,8.524,0.00